InCo2S | PBE | optimized geometry

Cell lengths 4.4009, 4.4009, 14.0948 Å; angles 90.00, 90.00, 90.00 degrees
Closest atoms and distances in Å follow each position.
Space group I-42d (No. 122)
Inequivalent atoms, fractional coordinates:
In  0.0000  0.0000  0.0000 x4  4 Co 2.70
Co  0.1095  0.2500  0.6250 x8  2 S 2.13
S  0.0000  0.0000  0.5000 x4  4 Co 2.13

Output
- uncorrected formation energy (kcal/mol of atoms) = 1.999
- offset from the most stable computed form (meV/atom) = 0.0